# 1
First-principles (PBE) data for a relaxed Zn3CdGa crystal, as listed in Alexandria.

a b c (Å): 5.0243 5.0243 5.0243
angles (deg): 90.00 90.00 90.00
Sites, in units of the cell vectors:
Zn 0.0000 0.5000 0.0000
Zn 0.0000 0.0000 0.5000
Zn 0.5000 0.0000 0.0000
Ga 0.5000 0.5000 0.5000
Cd 0.0000 0.0000 0.0000

The calculation puts the total moment at 0.00 μB per formula unit. For the theoretical density, the calculation gives 5.0 g cm⁻³. As for the energy above the lowest structure with this stoichiometry: 355.7 meV per atom. The value obtained for the formation energy is 0.511 eV/atom.

***

# 2
First-principles (PBE) data for a relaxed Zn3CdGa2 crystal, as listed in Alexandria.

a b c (Å): 4.1550 8.3983 7.7129
angles (deg): 60.23 74.37 75.68
Sites, in units of the cell vectors:
Zn 0.3200 0.4679 0.8920
Zn 0.9722 0.3726 0.6830
Zn 0.6900 0.0728 0.5473
Zn 0.3100 0.9272 0.4527
Zn 0.0278 0.6274 0.3170
Zn 0.6800 0.5321 0.1080
Cd 0.8583 0.1594 0.1240
Cd 0.1417 0.8406 0.8760
Ga 0.5027 0.1591 0.8354
Ga 0.4973 0.8409 0.1646
Ga 0.8223 0.7025 0.6530
Ga 0.1777 0.2975 0.3470

The calculation puts the total moment at 0.00 μB per formula unit. For the theoretical density, the calculation gives 6.7 g cm⁻³. The value obtained for the formation energy is 0.076 eV/atom.

***

# 3
First-principles (PBE) data for a relaxed Zn2CdGa2 crystal, as listed in Alexandria.

a b c (Å): 8.1220 8.1220 2.8457
angles (deg): 90.00 90.00 90.00
Sites, in units of the cell vectors:
Zn 0.1699 0.6699 0.5000
Zn 0.6699 0.8301 0.5000
Zn 0.8301 0.3301 0.5000
Zn 0.3301 0.1699 0.5000
Ga 0.3728 0.8728 0.0000
Ga 0.8728 0.6272 0.0000
Ga 0.6272 0.1272 0.0000
Ga 0.1272 0.3728 0.0000
Cd 0.0000 0.0000 0.0000
Cd 0.5000 0.5000 0.0000

The calculation puts the total moment at 0.00 μB per formula unit. For the theoretical density, the calculation gives 6.8 g cm⁻³. As for the energy above the lowest structure with this stoichiometry: 18.9 meV per atom. The value obtained for the formation energy is 0.076 eV/atom.

***

# 4
First-principles (PBE) data for a relaxed Zn5Cd3Ga2 crystal, as listed in Alexandria.

a b c (Å): 5.5604 6.2259 11.4399
angles (deg): 105.88 104.17 89.63
Sites, in units of the cell vectors:
Zn 0.5906 0.8207 0.1790
Zn 0.0884 0.3583 0.1790
Zn 0.4094 0.1793 0.8210
Zn 0.9116 0.6417 0.8210
Zn 0.5831 0.8331 0.6661
Zn 0.4169 0.1669 0.3339
Zn 0.2501 0.5001 0.0003
Zn 0.7499 0.4999 0.9997
Zn 0.9169 0.1669 0.3339
Zn 0.0831 0.8331 0.6661
Cd 0.7192 0.8325 0.4388
Cd 0.2196 0.6063 0.4388
Cd 0.2808 0.1675 0.5612
Cd 0.7804 0.3937 0.5612
Cd 0.7495 0.9995 0.9989
Cd 0.2505 0.0005 0.0011
Ga 0.8929 0.2011 0.7877
Ga 0.3948 0.5866 0.7877
Ga 0.1071 0.7989 0.2123
Ga 0.6052 0.4134 0.2123

The calculation puts the total moment at 0.00 μB per formula unit. For the theoretical density, the calculation gives 7.2 g cm⁻³. The value obtained for the formation energy is 0.052 eV/atom.

***

# 5
First-principles (PBE) data for a relaxed ZnCdGa2 crystal, as listed in Alexandria.

a b c (Å): 4.8138 4.8138 4.8138
angles (deg): 60.00 60.00 60.00
Sites, in units of the cell vectors:
Zn 0.0000 0.0000 0.0000
Ga 0.2500 0.2500 0.2500
Ga 0.7500 0.7500 0.7500
Cd 0.5000 0.5000 0.5000

The calculation puts the total moment at 0.00 μB per formula unit. For the theoretical density, the calculation gives 6.7 g cm⁻³. As for the energy above the lowest structure with this stoichiometry: 81.6 meV per atom. The value obtained for the formation energy is 0.115 eV/atom.

***

# 6
First-principles (PBE) data for a relaxed Zn3CdGa crystal, as listed in Alexandria.

a b c (Å): 6.3567 6.3567 6.3567
angles (deg): 63.52 63.52 63.52
Sites, in units of the cell vectors:
Zn 0.1279 0.8440 0.3004
Zn 0.3004 0.1279 0.8440
Zn 0.8440 0.3004 0.1279
Zn 0.6279 0.8004 0.3440
Zn 0.8004 0.3440 0.6279
Zn 0.3440 0.6279 0.8004
Cd 0.7578 0.7578 0.7578
Cd 0.2578 0.2578 0.2578
Ga 0.9415 0.9415 0.9415
Ga 0.4415 0.4415 0.4415

The calculation puts the total moment at 0.00 μB per formula unit. For the theoretical density, the calculation gives 6.4 g cm⁻³. As for the energy above the lowest structure with this stoichiometry: 0.0 meV per atom. The value obtained for the formation energy is 0.156 eV/atom.

***

# 7
First-principles (PBE) data for a relaxed Zn2CdGa3 crystal, as listed in Alexandria.

a b c (Å): 4.0753 8.0562 8.0516
angles (deg): 64.89 75.34 75.35
Sites, in units of the cell vectors:
Zn 0.5000 0.1483 0.8518
Zn 0.5000 0.8517 0.1482
Zn 0.8092 0.6908 0.6908
Zn 0.1908 0.3092 0.3092
Cd 0.8688 0.1312 0.1312
Cd 0.1312 0.8688 0.8688
Ga 0.3197 0.4649 0.8958
Ga 0.0000 0.3439 0.6561
Ga 0.6804 0.1041 0.5351
Ga 0.3196 0.8959 0.4649
Ga 0.0000 0.6561 0.3439
Ga 0.6803 0.5351 0.1042

The calculation puts the total moment at 0.00 μB per formula unit. For the theoretical density, the calculation gives 6.6 g cm⁻³. As for the energy above the lowest structure with this stoichiometry: 0.0 meV per atom. The value obtained for the formation energy is 0.059 eV/atom.

***

# 8
First-principles (PBE) data for a relaxed ZnCdGa2 crystal, as listed in Alexandria.

a b c (Å): 3.0414 3.0414 19.0489
angles (deg): 90.00 90.00 120.00
Sites, in units of the cell vectors:
Zn 0.0000 0.0000 0.5000
Zn 0.0000 0.0000 0.0000
Cd 0.3333 0.6667 0.7500
Cd 0.6667 0.3333 0.2500
Ga 0.3333 0.6667 0.3860
Ga 0.6667 0.3333 0.6140
Ga 0.6667 0.3333 0.8860
Ga 0.3333 0.6667 0.1140

The calculation puts the total moment at 0.00 μB per formula unit. For the theoretical density, the calculation gives 6.9 g cm⁻³. As for the energy above the lowest structure with this stoichiometry: 0.0 meV per atom. The value obtained for the formation energy is 0.033 eV/atom.

***

# 9
First-principles (PBE) data for a relaxed Zn2CdGa2 crystal, as listed in Alexandria.

a b c (Å): 5.1232 5.1954 7.9652
angles (deg): 86.83 101.95 66.71
Sites, in units of the cell vectors:
Zn 0.2486 0.9905 0.9856
Zn 0.5689 0.2767 0.4185
Zn 0.7514 0.0095 0.0144
Zn 0.4311 0.7233 0.5814
Cd 0.7727 0.6997 0.3244
Cd 0.2273 0.3003 0.6756
Ga 0.2831 0.4751 0.0904
Ga 0.9109 0.8948 0.6957
Ga 0.0891 0.1052 0.3043
Ga 0.7169 0.5249 0.9096

The calculation puts the total moment at 0.00 μB per formula unit. For the theoretical density, the calculation gives 6.7 g cm⁻³. As for the energy above the lowest structure with this stoichiometry: 0.0 meV per atom. The value obtained for the formation energy is 0.057 eV/atom.

***

# 10
First-principles (PBE) data for a relaxed ZnCd3Ga crystal, as listed in Alexandria.

a b c (Å): 6.4824 6.4824 7.3811
angles (deg): 102.75 133.46 88.03
Sites, in units of the cell vectors:
Zn 0.7212 0.7527 0.4739
Zn 0.2788 0.2473 0.5261
Cd 0.7865 0.9298 0.2010
Cd 0.2712 0.4145 0.2010
Cd 0.7288 0.5855 0.7990
Cd 0.7772 0.4188 0.1960
Cd 0.2135 0.0702 0.7990
Cd 0.2228 0.5812 0.8040
Ga 0.7325 0.0607 0.7932
Ga 0.2675 0.9393 0.2068

The calculation puts the total moment at 0.00 μB per formula unit. For the theoretical density, the calculation gives 7.2 g cm⁻³. As for the energy above the lowest structure with this stoichiometry: 0.0 meV per atom. The value obtained for the formation energy is 0.050 eV/atom.

***

# 11
First-principles (PBE) data for a relaxed Zn5Cd2Ga12 crystal, as listed in Alexandria.

a b c (Å): 6.5540 8.0020 8.6492
angles (deg): 107.67 90.00 114.17
Sites, in units of the cell vectors:
Zn 0.2828 0.5655 0.5974
Zn 0.3341 0.6683 0.1525
Zn 0.0000 0.0000 0.5000
Zn 0.6659 0.3317 0.8475
Zn 0.7172 0.4345 0.4026
Cd 0.7495 0.0000 0.0000
Cd 0.2505 0.0000 0.0000
Ga 0.8914 0.7828 0.1626
Ga 0.0818 0.5933 0.8707
Ga 0.5115 0.5933 0.8707
Ga 0.1269 0.7227 0.4232
Ga 0.5959 0.7227 0.4232
Ga 0.4807 0.9615 0.6883
Ga 0.5193 0.0385 0.3117
Ga 0.8731 0.2773 0.5768
Ga 0.4041 0.2773 0.5768
Ga 0.9182 0.4067 0.1293
Ga 0.4885 0.4067 0.1293
Ga 0.1086 0.2172 0.8374

The calculation puts the total moment at 0.00 μB per formula unit. For the theoretical density, the calculation gives 5.9 g cm⁻³. The value obtained for the formation energy is 0.106 eV/atom.

***

# 12
First-principles (PBE) data for a relaxed Zn9Cd3Ga2 crystal, as listed in Alexandria.

a b c (Å): 4.2140 8.5745 8.5745
angles (deg): 60.36 75.78 75.78
Sites, in units of the cell vectors:
Zn 0.0000 0.5000 0.5000
Zn 0.7000 0.9509 0.6490
Zn 0.3000 0.0491 0.3510
Zn 0.7000 0.6490 0.9509
Zn 0.3000 0.3510 0.0491
Zn 0.8813 0.8473 0.3901
Zn 0.1187 0.1527 0.6099
Zn 0.8813 0.3901 0.8473
Zn 0.1187 0.6099 0.1527
Cd 0.0000 0.0000 0.0000
Cd 0.6804 0.3196 0.3196
Cd 0.3196 0.6804 0.6804
Ga 0.5000 0.2563 0.7437
Ga 0.5000 0.7437 0.2563

The calculation puts the total moment at 0.00 μB per formula unit. For the theoretical density, the calculation gives 6.9 g cm⁻³. The value obtained for the formation energy is 0.108 eV/atom.